1.
# ErBS3 PBE optimized geometry
data_ErBS3
_cell_length_a 7.724
_cell_length_b 10.012
_cell_length_c 5.781
_cell_angle_alpha 90.00
_cell_angle_beta 90.00
_cell_angle_gamma 90.00
_space_group_name_H-M_alt 'P 1'
_space_group_IT_number 1
loop_
_space_group_symop_operation_xyz
'x,y,z'
loop_
_atom_site_label
_atom_site_fract_x
_atom_site_fract_y
_atom_site_fract_z
Er1 0.000 0.000 0.000
Er2 0.000 0.500 0.000
Er3 0.500 0.000 0.500
Er4 0.500 0.500 0.500
B1 0.134 0.250 0.485
B2 0.366 0.750 0.985
B3 0.634 0.250 0.015
B4 0.866 0.750 0.515
S1 0.045 0.250 0.197
S2 0.185 0.092 0.632
S3 0.185 0.408 0.632
S4 0.315 0.592 0.132
S5 0.315 0.908 0.132
S6 0.455 0.750 0.697
S7 0.545 0.250 0.303
S8 0.685 0.092 0.868
S9 0.685 0.408 0.868
S10 0.815 0.592 0.368
S11 0.815 0.908 0.368
S12 0.955 0.750 0.803
# DOS(E_F), states/eV/atom: 0.000
# V, Å³ per cell: 447.1
# Crystal system: orthorhombic
# E_tot, eV per atom: -5.86
# Space-group type: Pnma, No. 62
# E_form (uncorrected), meV per atom: -1137

=====

2.
# Ba2YInO PBE optimized geometry
data_Ba2YInO
_cell_length_a 5.947
_cell_length_b 5.947
_cell_length_c 4.476
_cell_angle_alpha 90.00
_cell_angle_beta 90.00
_cell_angle_gamma 90.00
_space_group_name_H-M_alt 'P 1'
_space_group_IT_number 1
loop_
_space_group_symop_operation_xyz
'x,y,z'
loop_
_atom_site_label
_atom_site_fract_x
_atom_site_fract_y
_atom_site_fract_z
Ba1 0.000 0.500 0.000
Ba2 0.500 0.000 0.000
Y1 0.000 0.000 0.500
In1 0.500 0.500 0.500
O1 0.000 0.000 0.000
# DOS(E_F), states/eV/atom: 0.709
# V, Å³ per cell: 158.3
# Crystal system: tetragonal
# E_tot, eV per atom: -4.80
# Energy above the most stable polymorph in this dataset, eV per atom: 0.000
# Space-group type: P4/mmm, No. 123
# E_form (uncorrected), meV per atom: -1194

=====

3.
# SrAlCu2F8 PBE optimized geometry
data_SrAlCu2F8
_cell_length_a 5.140
_cell_length_b 5.140
_cell_length_c 6.914
_cell_angle_alpha 90.00
_cell_angle_beta 90.00
_cell_angle_gamma 120.00
_space_group_name_H-M_alt 'P 1'
_space_group_IT_number 1
loop_
_space_group_symop_operation_xyz
'x,y,z'
loop_
_atom_site_label
_atom_site_fract_x
_atom_site_fract_y
_atom_site_fract_z
Sr1 0.000 0.000 0.000
Al1 0.000 0.000 0.500
Cu1 0.333 0.667 0.687
Cu2 0.667 0.333 0.313
F1 0.048 0.746 0.342
F2 0.254 0.303 0.342
F3 0.303 0.048 0.658
F4 0.333 0.667 0.964
F5 0.667 0.333 0.036
F6 0.697 0.952 0.342
F7 0.746 0.697 0.658
F8 0.952 0.254 0.658
# DOS(E_F), states/eV/atom: 0.674
# V, Å³ per cell: 158.2
# Crystal system: trigonal
# E_tot, eV per atom: -4.97
# Space-group type: P-3, No. 147
# E_form (uncorrected), meV per atom: -2587

=====

4.
# Nd2SmGa PBE optimized geometry
data_Nd2SmGa
_cell_length_a 3.620
_cell_length_b 3.620
_cell_length_c 9.167
_cell_angle_alpha 90.00
_cell_angle_beta 90.00
_cell_angle_gamma 90.00
_space_group_name_H-M_alt 'P 1'
_space_group_IT_number 1
loop_
_space_group_symop_operation_xyz
'x,y,z'
loop_
_atom_site_label
_atom_site_fract_x
_atom_site_fract_y
_atom_site_fract_z
Nd1 0.000 0.000 0.210
Nd2 0.000 0.000 0.790
Sm1 0.500 0.500 0.500
Ga1 0.500 0.500 0.000
# DOS(E_F), states/eV/atom: 1.025
# V, Å³ per cell: 120.1
# Crystal system: tetragonal
# DFT formation energy, meV per atom: -243
# E_tot, eV per atom: -4.56
# Energy above the most stable polymorph in this dataset, eV per atom: 0.000
# Space-group type: P4/mmm, No. 123

=====

5.
# ScSnAu4 PBE optimized geometry
data_ScSnAu4
_cell_length_a 4.779
_cell_length_b 4.779
_cell_length_c 6.045
_cell_angle_alpha 90.00
_cell_angle_beta 90.00
_cell_angle_gamma 120.00
_space_group_name_H-M_alt 'P 1'
_space_group_IT_number 1
loop_
_space_group_symop_operation_xyz
'x,y,z'
loop_
_atom_site_label
_atom_site_fract_x
_atom_site_fract_y
_atom_site_fract_z
Sc1 0.000 0.000 0.000
Sn1 0.000 0.000 0.500
Au1 0.333 0.667 0.241
Au2 0.333 0.667 0.759
Au3 0.667 0.333 0.241
Au4 0.667 0.333 0.759
# DOS(E_F), states/eV/atom: 0.300
# V, Å³ per cell: 119.6
# Crystal system: hexagonal
# DFT formation energy, meV per atom: -376
# E_tot, eV per atom: -4.28
# Space-group type: P6/mmm, No. 191

=====

6.
# MnAg2Pt PBE optimized geometry
data_MnAg2Pt
_cell_length_a 2.911
_cell_length_b 4.123
_cell_length_c 5.512
_cell_angle_alpha 90.00
_cell_angle_beta 90.00
_cell_angle_gamma 90.00
_space_group_name_H-M_alt 'P 1'
_space_group_IT_number 1
loop_
_space_group_symop_operation_xyz
'x,y,z'
loop_
_atom_site_label
_atom_site_fract_x
_atom_site_fract_y
_atom_site_fract_z
Mn1 0.000 0.000 0.000
Ag1 0.500 0.500 0.248
Ag2 0.500 0.500 0.752
Pt1 0.000 0.000 0.500
# DOS(E_F), states/eV/atom: 0.388
# V, Å³ per cell: 66.1
# Crystal system: orthorhombic
# DFT formation energy, meV per atom: 63
# E_tot, eV per atom: -5.17
# Energy above the most stable polymorph in this dataset, eV per atom: 0.108
# Space-group type: Pmmm, No. 47

=====

7.
# Ba2CeTe2O2 PBE optimized geometry
data_Ba2CeTe2O2
_cell_length_a 9.543
_cell_length_b 9.543
_cell_length_c 9.543
_cell_angle_alpha 151.78
_cell_angle_beta 151.78
_cell_angle_gamma 40.34
_space_group_name_H-M_alt 'P 1'
_space_group_IT_number 1
loop_
_space_group_symop_operation_xyz
'x,y,z'
loop_
_atom_site_label
_atom_site_fract_x
_atom_site_fract_y
_atom_site_fract_z
Ba1 0.119 0.119 0.000
Ba2 0.881 0.881 0.000
Ce1 0.500 0.500 0.000
Te1 0.325 0.325 0.000
Te2 0.675 0.675 0.000
O1 0.000 0.500 0.500
O2 0.500 0.000 0.500
# DOS(E_F), states/eV/atom: 0.132
# V, Å³ per cell: 194.0
# Crystal system: tetragonal
# E_tot, eV per atom: -6.01
# Space-group type: I4/mmm, No. 139
# E_form (uncorrected), meV per atom: -2298

=====

8.
# CeCo2Ni PBE optimized geometry
data_CeCo2Ni
_cell_length_a 3.876
_cell_length_b 3.876
_cell_length_c 3.785
_cell_angle_alpha 90.00
_cell_angle_beta 90.00
_cell_angle_gamma 90.00
_space_group_name_H-M_alt 'P 1'
_space_group_IT_number 1
loop_
_space_group_symop_operation_xyz
'x,y,z'
loop_
_atom_site_label
_atom_site_fract_x
_atom_site_fract_y
_atom_site_fract_z
Ce1 0.000 0.000 0.000
Co1 0.000 0.500 0.500
Co2 0.500 0.000 0.500
Ni1 0.500 0.500 0.000
# DOS(E_F), states/eV/atom: 0.938
# V, Å³ per cell: 56.9
# Crystal system: tetragonal
# DFT formation energy, meV per atom: -110
# E_tot, eV per atom: -6.59
# Space-group type: P4/mmm, No. 123

=====

9.
# Ca2Mg6Ag3 PBE optimized geometry
data_Ca2Mg6Ag3
_cell_length_a 8.441
_cell_length_b 8.441
_cell_length_c 4.446
_cell_angle_alpha 90.00
_cell_angle_beta 90.00
_cell_angle_gamma 120.00
_space_group_name_H-M_alt 'P 1'
_space_group_IT_number 1
loop_
_space_group_symop_operation_xyz
'x,y,z'
loop_
_atom_site_label
_atom_site_fract_x
_atom_site_fract_y
_atom_site_fract_z
Ca1 0.333 0.667 0.000
Ca2 0.667 0.333 0.000
Mg1 0.000 0.205 0.000
Mg2 0.000 0.716 0.500
Mg3 0.205 0.000 0.000
Mg4 0.284 0.284 0.500
Mg5 0.716 0.000 0.500
Mg6 0.795 0.795 0.000
Ag1 0.000 0.391 0.500
Ag2 0.391 0.000 0.500
Ag3 0.609 0.609 0.500
# DOS(E_F), states/eV/atom: 0.627
# V, Å³ per cell: 274.4
# Crystal system: hexagonal
# DFT formation energy, meV per atom: -118
# E_tot, eV per atom: -2.13
# Space-group type: P-62m, No. 189

=====

10.
# PmThPdRh PBE optimized geometry
data_PmThPdRh
_cell_length_a 4.234
_cell_length_b 6.073
_cell_length_c 6.073
_cell_angle_alpha 37.42
_cell_angle_beta 90.00
_cell_angle_gamma 90.00
_space_group_name_H-M_alt 'P 1'
_space_group_IT_number 1
loop_
_space_group_symop_operation_xyz
'x,y,z'
loop_
_atom_site_label
_atom_site_fract_x
_atom_site_fract_y
_atom_site_fract_z
Pm1 0.000 0.000 0.000
Th1 0.500 0.726 0.726
Pd1 0.500 0.445 0.445
Rh1 0.000 0.258 0.258
# DOS(E_F), states/eV/atom: 0.632
# V, Å³ per cell: 94.9
# Crystal system: orthorhombic
# DFT formation energy, meV per atom: -863
# E_tot, eV per atom: -7.04
# Energy above the most stable polymorph in this dataset, eV per atom: 0.000
# Space-group type: Amm2, No. 38